Computed, not measured: an optimized crystal structure of ZnCo2Tc at the PBE level of DFT.

Cell: 2.6098 2.6098 7.3331 Å, 90.00 90.00 90.00°
Last column: nearest neighbours and their distance in Å.
Positions (direct):
Zn1 0.0000 0.0000 0.0000  4 Co 2.60, 4 Zn 2.61, 4 Tc 2.79
Co1 0.0000 0.0000 0.4688  8 Co 2.45-2.61, 4 Tc 2.58
Co2 0.5000 0.5000 0.2491  8 Co 2.45-2.61, 4 Zn 2.60
Tc1 0.5000 0.5000 0.7150  4 Co 2.58, 4 Tc 2.61, 4 Zn 2.79

Spin magnetization (μB per cell): 2.41
Space-group type: P4mm (99)
Fermi-level density of states (states/eV per atom): 1.076
Energy of formation (eV per atom): 0.072
Crystal system: tetragonal
Calculated density (Mg/m³): 9.351

=====

Computed, not measured: an optimized crystal structure of TiBe2TeBr at the PBE level of DFT.

Cell: 5.0200 5.0200 4.6691 Å, 90.00 90.00 90.00°
Last column: nearest neighbours and their distance in Å.
Positions (direct):
Ti1 0.0000 0.0000 0.0000  2 Br 2.33, 4 Be 2.51
Be1 0.0000 0.5000 0.0000  2 Ti 2.51
Be2 0.5000 0.0000 0.0000  2 Ti 2.51
Te1 0.5000 0.5000 0.5000  8 Be 3.43, 4 Br 3.55
Br1 0.0000 0.0000 0.5000  2 Ti 2.33

Spin magnetization (μB per cell): 0.00
Space-group type: P4/mmm (123)
Energy (eV/atom): -3.092
Fermi-level density of states (states/eV per atom): 0.983
Crystal system: tetragonal
Calculated density (Mg/m³): 3.858

=====

Computed, not measured: an optimized crystal structure of Si3PF at the PBE level of DFT.

Cell: 4.5420 4.5420 4.5420 Å, 90.00 90.00 90.00°
Last column: nearest neighbours and their distance in Å.
Positions (direct):
Si1 0.0000 0.0000 0.5000  2 P 2.27
Si2 0.0000 0.5000 0.0000  2 P 2.27
Si3 0.5000 0.0000 0.0000  2 P 2.27
P1 0.0000 0.0000 0.0000  6 Si 2.27
F1 0.5000 0.5000 0.5000  12 Si 3.21

Spin magnetization (μB per cell): 0.00
Space-group type: Pm-3m (221)
Fermi-level density of states (states/eV per atom): 0.700
Crystal system: cubic
Calculated density (Mg/m³): 2.379
Relative energy among the computed polymorphs (eV/atom): 0.000

=====

Computed, not measured: an optimized crystal structure of InRu3Cl at the PBE level of DFT.

Cell: 5.0235 5.0235 5.0235 Å, 90.00 90.00 90.00°
Last column: nearest neighbours and their distance in Å.
Positions (direct):
In1 0.0000 0.0000 0.0000  6 Ru 2.51
Ru1 0.0000 0.0000 0.5000  2 In 2.51
Ru2 0.0000 0.5000 0.0000  2 In 2.51
Ru3 0.5000 0.0000 0.0000  2 In 2.51
Cl1 0.5000 0.5000 0.5000  12 Ru 3.55

Spin magnetization (μB per cell): 6.40
Space-group type: Pm-3m (221)
Fermi-level density of states (states/eV per atom): 1.140
Crystal system: cubic
Calculated density (Mg/m³): 5.940
Relative energy among the computed polymorphs (eV/atom): 1.151